Computed, not measured: a geometry-optimized RbLa2N structure at the PBE-GGA level of DFT.

a = 7.8330 Å, b = 7.8330 Å, c = 7.7966 Å
α = 59.85°, β = 59.85°, γ = 90.00°
Last column: magnetic moment on the atom in μB.
Fractional positions:
La 0.3434 0.6250 0.2500  0.13
La 0.4066 0.1250 0.2500  0.14
La 0.3750 0.5934 0.7500  0.14
La 0.8750 0.6566 0.7500  0.12
Rb 0.0000 0.0000 0.0000  0.01
Rb 0.7500 0.2500 0.5000  0.01
N 0.5000 0.5000 0.0000  -0.01
N 0.2500 0.7500 0.5000  -0.01

Results
Raw formation energy   -0.322 eV/atom
DOS at the Fermi energy   7.2 states/eV/f.u.
Energy   -5.109 eV per atom

***

Computed, not measured: a geometry-optimized HSe3S structure at the PBE-GGA level of DFT.

a = 4.3298 Å, b = 4.3298 Å, c = 4.3298 Å
α = 90.00°, β = 90.00°, γ = 90.00°
Fractional positions:
H 0.0000 0.0000 0.0000
S 0.5000 0.5000 0.5000
Se 0.5000 0.0000 0.0000
Se 0.0000 0.5000 0.0000
Se 0.0000 0.0000 0.5000

Results
Energy above the lowest structure with this stoichiometry   0 meV/atom
DOS at the Fermi energy   4.1 states/eV/f.u.
Energy   -2.642 eV per atom

***

Computed, not measured: a geometry-optimized SrTcBi3 structure at the PBE-GGA level of DFT.

a = 5.9579 Å, b = 5.9579 Å, c = 5.9579 Å
α = 90.00°, β = 90.00°, γ = 90.00°
Last column: magnetic moment on the atom in μB.
Fractional positions:
Bi 0.5000 0.0000 0.0000  -0.02
Bi 0.0000 0.5000 0.0000  0.04
Bi 0.0000 0.0000 0.5000  0.11
Sr 0.0000 0.0000 0.0000  0.03
Tc 0.5000 0.5000 0.5000  -0.07

Results
Formation energy   1826 meV per atom
DOS at the Fermi energy   9.0 states/eV/f.u.
Energy   -2.912 eV per atom

***

Computed, not measured: a geometry-optimized ZnGaNiPd structure at the PBE-GGA level of DFT.

a = 4.2498 Å, b = 4.2498 Å, c = 4.2498 Å
α = 60.00°, β = 60.00°, γ = 60.00°
Fractional positions:
Ni 0.2500 0.2500 0.2500
Pd 0.7500 0.7500 0.7500
Ga 0.5000 0.5000 0.5000
Zn 0.0000 0.0000 0.0000

Results
Energy above the lowest structure with this stoichiometry   23 meV/atom
Formation energy   -413 meV per atom
DOS at the Fermi energy   3.9 states/eV/f.u.
Energy   -4.232 eV per atom

***

Computed, not measured: a geometry-optimized LaCu8Au3 structure at the PBE-GGA level of DFT.

a = 5.0402 Å, b = 5.0402 Å, c = 8.2785 Å
α = 90.00°, β = 90.00°, γ = 120.00°
Fractional positions:
La 0.0000 0.0000 0.5643
Cu 0.6672 0.8336 0.2407
Cu 0.3333 0.6667 0.4978
Cu 0.9957 0.4978 0.7645
Cu 0.5022 0.0043 0.7645
Cu 0.3333 0.6667 0.9991
Cu 0.1664 0.8336 0.2407
Cu 0.1664 0.3328 0.2407
Cu 0.5022 0.4978 0.7645
Au 0.6667 0.3333 0.4164
Au 0.0000 0.0000 0.9483
Au 0.6667 0.3333 0.0587

Results
Formation energy   -106 meV per atom
DOS at the Fermi energy   5.3 states/eV/f.u.
Energy   -4.066 eV per atom

***

Computed, not measured: a geometry-optimized PrTm2In2 structure at the PBE-GGA level of DFT.

a = 5.1650 Å, b = 5.1650 Å, c = 6.4454 Å
α = 90.00°, β = 90.00°, γ = 120.00°
Fractional positions:
In 0.0000 0.0000 0.7518
In 0.0000 0.0000 0.2482
Pr 0.3333 0.6667 0.0000
Tm 0.3333 0.6667 0.5000
Tm 0.6667 0.3333 0.0000

Results
Energy above the lowest structure with this stoichiometry   148 meV/atom
Formation energy   -24 meV per atom
DOS at the Fermi energy   2.6 states/eV/f.u.
Energy   -3.864 eV per atom

***

Computed, not measured: a geometry-optimized KGaSn structure at the PBE-GGA level of DFT.

a = 4.9999 Å, b = 4.9999 Å, c = 7.7891 Å
α = 90.00°, β = 90.00°, γ = 120.00°
Fractional positions:
K 0.6667 0.3333 0.0000
K 0.6667 0.3333 0.5000
Sn 0.0000 0.0000 0.7127
Sn 0.0000 0.0000 0.2873
Ga 0.3333 0.6667 0.1827
Ga 0.3333 0.6667 0.8173

Results
Formation energy   -123 meV per atom
DOS at the Fermi energy   0.1 states/eV/f.u.
Energy   -2.832 eV per atom

***

Computed, not measured: a geometry-optimized Mg3PbBr structure at the PBE-GGA level of DFT.

a = 5.2760 Å, b = 5.2760 Å, c = 5.2760 Å
α = 90.00°, β = 90.00°, γ = 90.00°
Fractional positions:
Mg 0.5000 0.0000 0.0000
Mg 0.0000 0.0000 0.5000
Mg 0.0000 0.5000 0.0000
Br 0.0000 0.0000 0.0000
Pb 0.5000 0.5000 0.5000

Results
Energy above the lowest structure with this stoichiometry   184 meV/atom
Raw formation energy   0.204 eV/atom
DOS at the Fermi energy   5.3 states/eV/f.u.
Energy   -1.829 eV per atom

***

Computed, not measured: a geometry-optimized PmDy8Y4 structure at the PBE-GGA level of DFT.

a = 9.9562 Å, b = 9.9562 Å, c = 9.9562 Å
α = 43.21°, β = 43.21°, γ = 43.21°
Fractional positions:
Dy 0.2499 0.2499 0.8073
Dy 0.7501 0.1927 0.7501
Dy 0.8073 0.2499 0.2499
Dy 0.7501 0.7501 0.1927
Dy 0.2182 0.2182 0.2182
Dy 0.7818 0.7818 0.7818
Dy 0.1927 0.7501 0.7501
Dy 0.2499 0.8073 0.2499
Y 0.0000 0.5000 0.5000
Y 0.0000 0.0000 0.0000
Y 0.5000 0.0000 0.5000
Y 0.5000 0.5000 0.0000
Pm 0.5000 0.5000 0.5000

Results
Formation energy   194 meV per atom
DOS at the Fermi energy   16.5 states/eV/f.u.
Energy   -4.992 eV per atom

***

Computed, not measured: a geometry-optimized Nd12Sm2Mg structure at the PBE-GGA level of DFT.

a = 6.6902 Å, b = 6.6902 Å, c = 24.4773 Å
α = 90.00°, β = 90.00°, γ = 90.00°
Fractional positions:
Sm 0.0000 0.5000 0.7547
Sm 0.5000 0.0000 0.2453
Sm 0.0000 0.5000 0.2453
Sm 0.5000 0.0000 0.7547
Nd 0.7634 0.2634 0.0990
Nd 0.5000 0.5000 0.6707
Nd 0.5000 0.5000 0.2030
Nd 0.6667 0.8333 0.5641
Nd 0.6667 0.1667 0.4359
Nd 0.7366 0.7634 0.0990
Nd 0.1667 0.6667 0.5641
Nd 0.8333 0.6667 0.4359
Nd 0.3333 0.8333 0.4359
Nd 0.2366 0.2634 0.9010
Nd 0.1667 0.3333 0.4359
Nd 0.0000 0.0000 0.2030
Nd 0.0000 0.0000 0.7970
Nd 0.0000 0.0000 0.6707
Nd 0.5000 0.5000 0.3293
Nd 0.2634 0.7634 0.9010
Nd 0.8333 0.3333 0.5641
Nd 0.2634 0.2366 0.0990
Nd 0.5000 0.5000 0.7970
Nd 0.0000 0.0000 0.3293
Nd 0.2366 0.7366 0.0990
Nd 0.7366 0.2366 0.9010
Nd 0.3333 0.1667 0.5641
Nd 0.7634 0.7366 0.9010
Mg 0.0000 0.5000 0.0000
Mg 0.5000 0.0000 0.0000

Results
Formation energy   285 meV per atom
DOS at the Fermi energy   15.8 states/eV/f.u.
Energy   -4.265 eV per atom

***

Computed, not measured: a geometry-optimized ZnAgIr2 structure at the PBE-GGA level of DFT.

a = 4.7063 Å, b = 4.7063 Å, c = 4.7063 Å
α = 129.44°, β = 129.44°, γ = 74.30°
Fractional positions:
Ag 0.7500 0.2500 0.5000
Ir 0.0000 0.0000 0.0000
Ir 0.2500 0.7500 0.5000
Zn 0.5000 0.5000 0.0000

Results
Formation energy   253 meV per atom
DOS at the Fermi energy   5.0 states/eV/f.u.
Energy   -5.209 eV per atom

***

Computed, not measured: a geometry-optimized SmTiSb structure at the PBE-GGA level of DFT.

a = 4.2594 Å, b = 4.2594 Å, c = 8.0691 Å
α = 90.00°, β = 90.00°, γ = 90.00°
Fractional positions:
Sb 0.5000 0.0000 0.7415
Sb 0.0000 0.5000 0.2585
Sm 0.5000 0.0000 0.1512
Sm 0.0000 0.5000 0.8488
Ti 0.0000 0.0000 0.5000
Ti 0.5000 0.5000 0.5000

Results
Raw formation energy   -0.735 eV/atom
DOS at the Fermi energy   3.2 states/eV/f.u.
Energy   -6.314 eV per atom

***

Computed, not measured: a geometry-optimized Pr3SmGe2 structure at the PBE-GGA level of DFT.

a = 4.5354 Å, b = 4.5930 Å, c = 8.9579 Å
α = 104.81°, β = 104.63°, γ = 90.00°
Fractional positions:
Pr 0.5000 0.5000 0.0000
Pr 0.8184 0.3186 0.6367
Pr 0.1816 0.6814 0.3633
Ge 0.3662 0.8665 0.7321
Ge 0.6338 0.1335 0.2679
Sm 0.0000 0.0000 0.0000

Results
Formation energy   -591 meV per atom
DOS at the Fermi energy   5.8 states/eV/f.u.
Energy   -5.306 eV per atom

***

Computed, not measured: a geometry-optimized AlIn3 structure at the PBE-GGA level of DFT.

a = 5.4448 Å, b = 5.4448 Å, c = 3.3634 Å
α = 90.00°, β = 90.00°, γ = 90.00°
Fractional positions:
In 0.0000 0.5000 0.5000
In 0.5000 0.5000 0.0000
In 0.5000 0.0000 0.5000
Al 0.0000 0.0000 0.0000

Results
Formation energy   154 meV per atom
DOS at the Fermi energy   2.5 states/eV/f.u.
Energy   -2.836 eV per atom

***

Computed, not measured: a geometry-optimized InW2Se structure at the PBE-GGA level of DFT.

a = 4.6603 Å, b = 4.6603 Å, c = 3.1604 Å
α = 90.00°, β = 90.00°, γ = 90.00°
Fractional positions:
W 0.5000 0.5000 0.0000
W 0.0000 0.0000 0.0000
Se 0.0000 0.5000 0.5000
In 0.5000 0.0000 0.5000

Results
Energy above the lowest structure with this stoichiometry   558 meV/atom
Raw formation energy   0.860 eV/atom
DOS at the Fermi energy   3.7 states/eV/f.u.
Energy   -7.173 eV per atom

***

Computed, not measured: a geometry-optimized BaTc2C structure at the PBE-GGA level of DFT.

a = 6.3350 Å, b = 6.3350 Å, c = 6.3307 Å
α = 59.98°, β = 59.98°, γ = 90.00°
Last column: magnetic moment on the atom in μB.
Fractional positions:
C 0.2500 0.7500 0.5000  -0.05
C 0.5000 0.5000 0.0000  -0.05
Ba 0.7500 0.2500 0.5000  -0.01
Ba 0.0000 0.0000 0.0000  -0.01
Tc 0.3727 0.1250 0.2500  0.99
Tc 0.8750 0.6227 0.7500  0.94
Tc 0.3750 0.6273 0.7500  0.96
Tc 0.3773 0.6250 0.2500  0.95

Results
Formation energy   675 meV per atom
DOS at the Fermi energy   2.9 states/eV/f.u.
Energy   -7.295 eV per atom

***

Computed, not measured: a geometry-optimized AlPtRh2 structure at the PBE-GGA level of DFT.

a = 4.6707 Å, b = 4.6707 Å, c = 4.6707 Å
α = 130.32°, β = 130.32°, γ = 72.90°
Fractional positions:
Pt 0.7500 0.2500 0.5000
Al 0.2500 0.7500 0.5000
Rh 0.5000 0.5000 0.0000
Rh 0.0000 0.0000 0.0000

Results
Formation energy   -518 meV per atom
DOS at the Fermi energy   5.0 states/eV/f.u.
Energy   -6.639 eV per atom

***

Computed, not measured: a geometry-optimized Li6Tl2Pt structure at the PBE-GGA level of DFT.

a = 4.4833 Å, b = 5.1802 Å, c = 8.4493 Å
α = 113.69°, β = 90.00°, γ = 115.64°
Fractional positions:
Li 0.6876 0.3752 0.4124
Li 0.6794 0.3587 0.0790
Li 0.0105 0.0210 0.1885
Li 0.9895 0.9790 0.8115
Li 0.3206 0.6413 0.9210
Li 0.3124 0.6248 0.5876
Pt 0.0000 0.0000 0.5000
Tl 0.6501 0.3002 0.7277
Tl 0.3499 0.6998 0.2723

Results
Energy above the lowest structure with this stoichiometry   0 meV/atom
Formation energy   -294 meV per atom
DOS at the Fermi energy   3.7 states/eV/f.u.
Energy   -2.767 eV per atom

***

Computed, not measured: a geometry-optimized Rb2BiPI6 structure at the PBE-GGA level of DFT.

a = 8.4433 Å, b = 8.4433 Å, c = 8.5351 Å
α = 60.36°, β = 60.36°, γ = 90.00°
Fractional positions:
I 0.7381 0.7381 0.0000
I 0.7416 0.7416 0.5167
I 0.7381 0.2619 0.0000
I 0.2619 0.2619 0.0000
I 0.2584 0.2584 0.4833
I 0.2619 0.7381 0.0000
Rb 0.7500 0.2500 0.5000
Rb 0.2500 0.7500 0.5000
P 0.5000 0.5000 0.0000
Bi 0.0000 0.0000 0.0000

Results
Raw formation energy   -0.606 eV/atom
DOS at the Fermi energy   2.1 states/eV/f.u.
Energy   -2.659 eV per atom

***

Computed, not measured: a geometry-optimized Ho5In4Rh structure at the PBE-GGA level of DFT.

a = 3.4775 Å, b = 3.4775 Å, c = 20.5857 Å
α = 90.00°, β = 90.00°, γ = 90.00°
Last column: magnetic moment on the atom in μB.
Fractional positions:
In 0.0000 0.0000 0.1880  0.00
In 0.0000 0.0000 0.6042  0.00
In 0.0000 0.0000 0.3958  0.00
In 0.0000 0.0000 0.8120  0.00
Ho 0.5000 0.5000 0.2915  0.12
Ho 0.5000 0.5000 0.7085  0.12
Ho 0.5000 0.5000 0.9196  -0.01
Ho 0.5000 0.5000 0.0804  -0.01
Ho 0.5000 0.5000 0.5000  -0.12
Rh 0.0000 0.0000 0.0000  -0.01

Results
Formation energy   -561 meV per atom
DOS at the Fermi energy   4.3 states/eV/f.u.
Energy   -4.681 eV per atom

***

Computed, not measured: a geometry-optimized V2CuPt5Rh structure at the PBE-GGA level of DFT.

a = 7.2577 Å, b = 7.2577 Å, c = 7.4523 Å
α = 119.14°, β = 119.14°, γ = 90.00°
Fractional positions:
Pt 0.5816 0.6594 0.7410
Pt 0.3406 0.8406 0.2590
Pt 0.6594 0.1594 0.7410
Pt 0.1594 0.0816 0.7410
Pt 0.8406 0.9184 0.2590
Pt 0.9184 0.4184 0.2590
Pt 0.4184 0.3406 0.2590
Pt 0.0816 0.5816 0.7410
Pt 0.0000 0.0000 0.0000
Pt 0.5000 0.5000 0.0000
Rh 0.7500 0.2500 0.5000
Rh 0.2500 0.7500 0.5000
V 0.6014 0.1014 0.0000
V 0.3986 0.8986 0.0000
V 0.1014 0.3986 0.0000
V 0.8986 0.6014 0.0000
Cu 0.7500 0.7500 0.5000
Cu 0.2500 0.2500 0.5000

Results
Formation energy   90 meV per atom
DOS at the Fermi energy   9.3 states/eV/f.u.
Energy   -6.564 eV per atom

***

Computed, not measured: a geometry-optimized BaAlTl2S4 structure at the PBE-GGA level of DFT.

a = 6.2160 Å, b = 9.5010 Å, c = 7.9248 Å
α = 90.00°, β = 90.00°, γ = 90.00°
Fractional positions:
Ba 0.9433 0.0744 0.5000
Ba 0.4433 0.9256 0.0000
Tl 0.4531 0.3664 0.3058
Tl 0.4531 0.3664 0.6942
Tl 0.9531 0.6336 0.8058
Tl 0.9531 0.6336 0.1942
S 0.4147 0.6619 0.7486
S 0.8761 0.7441 0.5000
S 0.9147 0.3381 0.2486
S 0.9147 0.3381 0.7514
S 0.3761 0.2559 0.0000
S 0.9395 0.0007 0.0000
S 0.4395 0.9993 0.5000
S 0.4147 0.6619 0.2514
Al 0.5056 0.7676 0.5000
Al 0.0056 0.2324 0.0000

Results
Raw formation energy   -0.967 eV/atom
DOS at the Fermi energy   3.1 states/eV/f.u.
Energy   -4.330 eV per atom

***

Computed, not measured: a geometry-optimized Ni4B2Pt structure at the PBE-GGA level of DFT.

a = 4.4062 Å, b = 5.5908 Å, c = 6.8913 Å
α = 113.91°, β = 108.62°, γ = 90.05°
Fractional positions:
Ni 0.8219 0.6213 0.2420
Ni 0.2131 0.5151 0.0303
Ni 0.4328 0.2348 0.4697
Ni 0.6207 0.1837 0.8863
Ni 0.8299 0.1293 0.2580
Ni 0.9844 0.0474 0.6137
Ni 0.9846 0.5664 0.6139
Ni 0.6207 0.7024 0.8861
Pt 0.1891 0.0075 0.0153
Pt 0.4237 0.7422 0.4847
B 0.5088 0.8750 0.2500
B 0.5088 0.3750 0.2500
B 0.3006 0.3698 0.7398
B 0.8109 0.3801 0.7602

Results
Formation energy   -172 meV per atom
DOS at the Fermi energy   4.1 states/eV/f.u.
Energy   -6.247 eV per atom